Entry i
CsTePCl2 (GGA-PBE, optimized geometry); D(E_F) = 0.792 states/eV/atom
1.0
5.7514 0.0000 0.0000
0.0000 5.7514 0.0000
0.0000 0.0000 6.1894
Cs Te P Cl
1 1 1 2
Direct
0.0000 0.0000 0.0000
0.5000 0.5000 0.5000
0.0000 0.0000 0.5000
0.0000 0.5000 0.0000
0.5000 0.0000 0.0000

=====

Entry ii
CsTePCl2 (GGA-PBE, optimized geometry); D(E_F) = 0.333 states/eV/atom
1.0
5.8699 0.0000 0.0000
0.0000 5.8699 0.0000
0.0000 0.0000 4.9046
Cs Te P Cl
1 1 1 2
Direct
0.0000 0.0000 0.0000
0.5000 0.5000 0.5000
0.5000 0.5000 0.0000
0.0000 0.5000 0.5000
0.5000 0.0000 0.5000

=====

Which structure loses on stability? entry i does.

=====

Entry i
CsTiP2Cl (GGA-PBE, optimized geometry); D(E_F) = 0.511 states/eV/atom
1.0
4.7551 0.0000 0.0000
0.0000 4.7551 0.0000
0.0000 0.0000 5.7302
Cs Ti P Cl
1 1 2 1
Direct
0.0000 0.0000 0.0000
0.5000 0.5000 0.5000
0.0000 0.5000 0.5000
0.5000 0.0000 0.5000
0.5000 0.5000 0.0000

=====

Entry ii
CsTiP2Cl (GGA-PBE, optimized geometry); D(E_F) = 1.579 states/eV/atom
1.0
5.4926 0.0000 0.0000
0.0000 5.4926 0.0000
0.0000 0.0000 5.8521
Cs Ti P Cl
1 1 2 1
Direct
0.0000 0.0000 0.0000
0.5000 0.5000 0.5000
0.0000 0.5000 0.0000
0.5000 0.0000 0.0000
0.0000 0.0000 0.5000

=====

Which structure loses on stability? entry ii does.

=====

Entry i
CsTlPCl2 (GGA-PBE, optimized geometry); D(E_F) = 0.256 states/eV/atom
1.0
5.8664 0.0000 0.0000
0.0000 5.8664 0.0000
0.0000 0.0000 5.2950
Cs Tl P Cl
1 1 1 2
Direct
0.0000 0.0000 0.0000
0.5000 0.5000 0.5000
0.5000 0.5000 0.0000
0.0000 0.5000 0.5000
0.5000 0.0000 0.5000

=====

Entry ii
CsTlPCl2 (GGA-PBE, optimized geometry); D(E_F) = 0.031 states/eV/atom
1.0
6.3354 0.0000 0.0000
0.0000 6.3354 0.0000
0.0000 0.0000 5.7813
Cs Tl P Cl
1 1 1 2
Direct
0.0000 0.0000 0.0000
0.5000 0.5000 0.5000
0.0000 0.0000 0.5000
0.0000 0.5000 0.0000
0.5000 0.0000 0.0000

=====

Which structure loses on stability? entry ii does.

=====

Entry i
CsPa2Cl8 (GGA-PBE, optimized geometry); D(E_F) = 0.518 states/eV/atom
1.0
6.5998 -3.7797 0.0000
6.5998 3.7797 0.0000
-2.2615 0.0000 8.4460
Cs Pa Cl
1 2 8
Direct
0.0000 0.0000 0.0000
0.2497 0.2497 0.5065
0.7503 0.7503 0.4935
0.1509 0.6525 0.6235
0.1924 0.1924 0.7680
0.2941 0.2941 0.2360
0.3475 0.8491 0.3765
0.6525 0.1509 0.6235
0.7059 0.7059 0.7640
0.8076 0.8076 0.2320
0.8491 0.3475 0.3765

=====

Entry ii
CsPa2Cl8 (GGA-PBE, optimized geometry); D(E_F) = 1.259 states/eV/atom
1.0
-2.7116 3.7483 7.5843
2.7116 -3.7483 7.5843
2.7116 3.7483 -7.5843
Cs Pa Cl
1 2 8
Direct
0.0000 0.0000 0.0000
0.3413 0.3413 0.0000
0.6587 0.6587 0.0000
0.0482 0.9470 0.5878
0.2832 0.5000 0.7832
0.3592 0.4604 0.4122
0.3941 0.8941 0.5000
0.6059 0.1059 0.5000
0.6408 0.0530 0.1012
0.7168 0.5000 0.2168
0.9518 0.5396 0.8988

=====

Which structure loses on stability? entry ii does.

=====

Entry i
CsPb2Cl5 (GGA-PBE, optimized geometry); D(E_F) = 0.000 states/eV/atom
1.0
2.8577 -7.4258 0.0000
2.8577 7.4258 0.0000
0.0000 0.0000 15.6781
Cs Pb Cl
2 4 10
Direct
0.2123 0.7877 0.7500
0.7877 0.2123 0.2500
0.1341 0.8659 0.0596
0.1341 0.8659 0.4404
0.8659 0.1341 0.5596
0.8659 0.1341 0.9404
0.0486 0.9514 0.6020
0.0486 0.9514 0.8980
0.1669 0.8331 0.2500
0.3173 0.6827 0.5458
0.3173 0.6827 0.9542
0.6827 0.3173 0.0458
0.6827 0.3173 0.4542
0.8331 0.1669 0.7500
0.9514 0.0486 0.1020
0.9514 0.0486 0.3980

=====

Entry ii
CsPb2Cl5 (GGA-PBE, optimized geometry); D(E_F) = 0.000 states/eV/atom
1.0
4.4352 0.0000 0.0000
0.0000 7.4698 0.0000
0.0000 0.0000 15.6155
Cs Pb Cl
2 4 10
Direct
0.0000 0.0000 0.0000
0.5000 0.5000 0.5000
0.0000 0.5000 0.1802
0.0000 0.5000 0.8198
0.5000 0.0000 0.3198
0.5000 0.0000 0.6802
0.0000 0.2604 0.3447
0.0000 0.2604 0.6553
0.0000 0.5000 0.0000
0.0000 0.7396 0.3447
0.0000 0.7396 0.6553
0.5000 0.0000 0.5000
0.5000 0.2396 0.1553
0.5000 0.2396 0.8447
0.5000 0.7604 0.1553
0.5000 0.7604 0.8447

=====

Entry iii
CsPb2Cl5 (GGA-PBE, optimized geometry); D(E_F) = 0.000 states/eV/atom
1.0
-4.1085 4.1085 7.6819
4.1085 -4.1085 7.6819
4.1085 4.1085 -7.6819
Cs Pb Cl
2 4 10
Direct
0.2500 0.2500 0.0000
0.7500 0.7500 0.0000
0.1684 0.6684 0.8368
0.3316 0.1684 0.5000
0.6684 0.8316 0.5000
0.8316 0.3316 0.1632
0.0000 0.0000 0.0000
0.0324 0.2243 0.5000
0.2243 0.7243 0.1919
0.2757 0.4676 0.5000
0.4676 0.9676 0.1919
0.5000 0.5000 0.0000
0.5324 0.0324 0.8081
0.7243 0.5324 0.5000
0.7757 0.2757 0.8081
0.9676 0.7757 0.5000

=====

Which structure loses on stability? entry i does.

=====

Entry i
Cs2PbCl (GGA-PBE, optimized geometry); D(E_F) = 0.602 states/eV/atom
1.0
4.3583 0.0000 0.0000
-2.1792 3.7744 0.0000
0.0000 0.0000 36.6304
Cs Pb Cl
6 3 3
Direct
0.0000 0.0000 0.1039
0.0000 0.0000 0.8961
0.3333 0.6667 0.5627
0.3333 0.6667 0.7706
0.6667 0.3333 0.2294
0.6667 0.3333 0.4373
0.0000 0.0000 0.0000
0.3333 0.6667 0.6667
0.6667 0.3333 0.3333
0.0000 0.0000 0.5000
0.3333 0.6667 0.1667
0.6667 0.3333 0.8333

=====

Entry ii
Cs2PbCl (GGA-PBE, optimized geometry); D(E_F) = 0.136 states/eV/atom
1.0
9.7276 0.0000 0.0000
0.0000 9.7276 0.0000
0.0000 0.0000 9.8712
Cs Pb Cl
8 4 4
Direct
0.1886 0.2500 0.1250
0.2500 0.6886 0.3750
0.2500 0.8114 0.8750
0.3114 0.2500 0.6250
0.6886 0.7500 0.6250
0.7500 0.1886 0.8750
0.7500 0.3114 0.3750
0.8114 0.7500 0.1250
0.0000 0.0000 0.5000
0.0000 0.5000 0.7500
0.5000 0.0000 0.2500
0.5000 0.5000 0.0000
0.0000 0.0000 0.0000
0.0000 0.5000 0.2500
0.5000 0.0000 0.7500
0.5000 0.5000 0.5000

=====

Which structure loses on stability? entry ii does.

=====

Entry i
Cs2PbCl5 (GGA-PBE, optimized geometry); D(E_F) = 0.581 states/eV/atom
1.0
8.0770 0.0000 0.0000
0.0000 8.0770 0.0000
0.0000 0.0000 9.8452
Cs Pb Cl
4 2 10
Direct
0.0000 0.5000 0.0000
0.0000 0.5000 0.5000
0.5000 0.0000 0.0000
0.5000 0.0000 0.5000
0.0000 0.0000 0.2241
0.5000 0.5000 0.7241
0.0000 0.0000 0.9664
0.2345 0.2345 0.2606
0.2345 0.7655 0.2606
0.2655 0.2655 0.7606
0.2655 0.7345 0.7606
0.5000 0.5000 0.4664
0.7345 0.2655 0.7606
0.7345 0.7345 0.7606
0.7655 0.2345 0.2606
0.7655 0.7655 0.2606

=====

Entry ii
Cs2PbCl5 (GGA-PBE, optimized geometry); D(E_F) = 0.204 states/eV/atom
1.0
9.8967 0.0000 0.0000
0.0000 7.6230 0.0000
0.0000 0.0000 15.6361
Cs Pb Cl
8 4 20
Direct
0.0275 0.2500 0.2063
0.1666 0.7500 0.4175
0.3334 0.2500 0.9175
0.4725 0.7500 0.7063
0.5275 0.2500 0.2937
0.6666 0.7500 0.0825
0.8334 0.2500 0.5825
0.9725 0.7500 0.7937
0.1804 0.7500 0.0637
0.3196 0.2500 0.5637
0.6804 0.7500 0.4363
0.8196 0.2500 0.9363
0.0000 0.0000 0.0000
0.0000 0.5000 0.0000
0.0317 0.7500 0.2068
0.1597 0.5052 0.6157
0.1597 0.9948 0.6157
0.2070 0.2500 0.4016
0.2930 0.7500 0.9016
0.3403 0.0052 0.1157
0.3403 0.4948 0.1157
0.4683 0.2500 0.7068
0.5000 0.0000 0.5000
0.5000 0.5000 0.5000
0.5317 0.7500 0.2932
0.6597 0.5052 0.8843
0.6597 0.9948 0.8843
0.7070 0.2500 0.0984
0.7930 0.7500 0.5984
0.8403 0.0052 0.3843
0.8403 0.4948 0.3843
0.9683 0.2500 0.7932

=====

Which structure loses on stability? entry i does.

=====

Entry i
CsPb3Cl (GGA-PBE, optimized geometry); D(E_F) = 1.044 states/eV/atom
1.0
5.8509 0.0000 0.0000
0.0000 5.8509 0.0000
0.0000 0.0000 5.8509
Cs Pb Cl
1 3 1
Direct
0.0000 0.0000 0.0000
0.0000 0.5000 0.5000
0.5000 0.0000 0.5000
0.5000 0.5000 0.0000
0.5000 0.5000 0.5000

=====

Entry ii
CsPb3Cl (GGA-PBE, optimized geometry); D(E_F) = 1.894 states/eV/atom
1.0
6.4645 0.0000 0.0000
0.0000 6.4645 0.0000
0.0000 0.0000 6.4645
Cs Pb Cl
1 3 1
Direct
0.0000 0.0000 0.0000
0.0000 0.0000 0.5000
0.0000 0.5000 0.0000
0.5000 0.0000 0.0000
0.5000 0.5000 0.5000

=====

Which structure loses on stability? entry ii does.